Density functional theory data (PBE with a Hubbard U) for a relaxed KTlW2O8 crystal.

Cell lengths 6.3870, 6.3870, 6.3870 Å; angles 106.10, 106.10, 116.44 degrees
Element x y z (fractional)
K 0.0000 0.0000 0.0000
Tl 0.2500 0.7500 0.5000
W 0.5000 0.5000 0.0000
W 0.7500 0.2500 0.5000
O 0.3460 0.1506 0.8046
O 0.3460 0.5413 0.1954
O 0.3955 0.0768 0.3187
O 0.4587 0.6540 0.8046
O 0.7580 0.0768 0.6813
O 0.8494 0.6540 0.1954
O 0.9232 0.2420 0.3187
O 0.9232 0.6045 0.6813

## Properties
total DFT energy (no corrections): -75.8 eV for the cell shown
volume: 16.53 Å³/atom
SG: I-4m2 (119)